a | # TbThMg

A geometry-optimized TbThMg structure (GGA-PBE, Alexandria via LeMat-Bulk).

Cell and atoms, written as POSCAR:
```
TbThMg
1.0
3.053 -1.757 0.000
3.053 1.757 0.000
-0.051 0.000 16.711
Tb Th Mg
2 2 2
Direct
0.001 0.001 0.258
0.999 0.999 0.742
0.333 0.333 0.914
0.667 0.667 0.086
0.334 0.334 0.425
0.666 0.666 0.575
```

Its symmetry is No. 12.

---

b | # TbThMg

A geometry-optimized TbThMg structure (GGA-PBE, Alexandria via LeMat-Bulk).

Cell and atoms, written as POSCAR:
```
TbThMg
1.0
3.555 0.000 0.000
0.000 3.555 0.000
0.000 0.000 13.891
Tb Th Mg
2 2 2
Direct
0.250 0.250 0.231
0.750 0.750 0.769
0.250 0.250 0.589
0.750 0.750 0.411
0.250 0.250 0.934
0.750 0.750 0.066
```

Its symmetry is No. 129.

---

It comes down to b, which is 5.5 kJ/mol of atoms more stable than the next structure.

---

a | # TbThMg2

A geometry-optimized TbThMg2 structure (GGA-PBE, Alexandria via LeMat-Bulk).

Cell and atoms, written as POSCAR:
```
TbThMg2
1.0
1.699 0.981 11.429
-1.699 0.981 11.429
0.000 -1.961 11.429
Tb Th Mg
1 1 2
Direct
0.000 0.000 0.000
0.500 0.500 0.500
0.252 0.252 0.252
0.748 0.748 0.748
```

Its symmetry is No. 166.

---

b | # TbThMg2

A geometry-optimized TbThMg2 structure (GGA-PBE, Alexandria via LeMat-Bulk).

Cell and atoms, written as POSCAR:
```
TbThMg2
1.0
3.797 0.000 0.000
0.000 3.797 0.000
0.000 0.000 7.718
Tb Th Mg
1 1 2
Direct
0.000 0.000 0.000
0.000 0.000 0.500
0.500 0.500 0.240
0.500 0.500 0.760
```

Its symmetry is No. 123.

---

It comes down to b, which is 7.3 kJ/mol of atoms more stable than the next structure.

---

a | # TbTmThMg

A geometry-optimized TbTmThMg structure (GGA-PBE, Alexandria via LeMat-Bulk).

Cell and atoms, written as POSCAR:
```
TbTmThMg
1.0
3.572 0.000 0.000
0.000 3.572 0.000
0.000 0.000 9.204
Tb Tm Th Mg
1 1 1 1
Direct
0.000 0.000 0.000
0.000 0.000 0.520
0.500 0.500 0.263
0.500 0.500 0.756
```

Its symmetry is No. 99.

---

b | # TbTmThMg

A geometry-optimized TbTmThMg structure (GGA-PBE, Alexandria via LeMat-Bulk).

Cell and atoms, written as POSCAR:
```
TbTmThMg
1.0
0.000 3.894 3.894
3.894 0.000 3.894
3.894 3.894 0.000
Tb Tm Th Mg
1 1 1 1
Direct
0.000 0.000 0.000
0.750 0.750 0.750
0.500 0.500 0.500
0.250 0.250 0.250
```

Its symmetry is No. 216.

---

It comes down to a, which is 12.6 kJ/mol of atoms more stable than the next structure.

---

a | # Tb2MgTi

A geometry-optimized Tb2MgTi structure (GGA-PBE, Alexandria via LeMat-Bulk).

Cell and atoms, written as POSCAR:
```
Tb2MgTi
1.0
3.399 0.000 0.000
0.000 3.399 0.000
0.000 0.000 8.974
Tb Mg Ti
2 1 1
Direct
0.000 0.000 0.231
0.000 0.000 0.769
0.500 0.500 0.500
0.500 0.500 0.000
```

Its symmetry is No. 123.

---

b | # Tb2MgTi

A geometry-optimized Tb2MgTi structure (GGA-PBE, Alexandria via LeMat-Bulk).

Cell and atoms, written as POSCAR:
```
Tb2MgTi
1.0
5.379 0.000 0.000
0.000 5.379 0.000
0.000 0.000 3.599
Tb Mg Ti
2 1 1
Direct
0.000 0.500 0.000
0.500 0.000 0.000
0.000 0.000 0.500
0.500 0.500 0.500
```

Its symmetry is No. 123.

---

c | # Tb2MgTi

A geometry-optimized Tb2MgTi structure (GGA-PBE, Alexandria via LeMat-Bulk).

Cell and atoms, written as POSCAR:
```
Tb2MgTi
1.0
0.000 3.722 3.722
3.722 0.000 3.722
3.722 3.722 0.000
Tb Mg Ti
2 1 1
Direct
0.250 0.250 0.250
0.750 0.750 0.750
0.000 0.000 0.000
0.500 0.500 0.500
```

Its symmetry is No. 225.

---

d | # Tb2MgTi

A geometry-optimized Tb2MgTi structure (GGA-PBE, Alexandria via LeMat-Bulk).

Cell and atoms, written as POSCAR:
```
Tb2MgTi
1.0
1.614 0.932 11.738
-1.614 0.932 11.738
0.000 -1.863 11.738
Tb Mg Ti
2 1 1
Direct
0.084 0.084 0.084
0.916 0.916 0.916
0.500 0.500 0.500
0.000 0.000 0.000
```

Its symmetry is No. 166.

---

It comes down to a, which is 6.3 kJ/mol of atoms more stable than the next structure.

---

a | # Tb3MgTl

A geometry-optimized Tb3MgTl structure (GGA-PBE, Alexandria via LeMat-Bulk).

Cell and atoms, written as POSCAR:
```
Tb3MgTl
1.0
8.134 -2.661 0.000
8.134 2.661 0.000
-0.849 0.000 6.583
Tb Mg Tl
6 2 2
Direct
0.021 0.021 0.257
0.204 0.204 0.649
0.399 0.399 0.045
0.601 0.601 0.955
0.796 0.796 0.351
0.979 0.979 0.743
0.207 0.207 0.129
0.793 0.793 0.871
0.399 0.399 0.534
0.601 0.601 0.466
```

Its symmetry is No. 12.

---

b | # Tb3MgTl

A geometry-optimized Tb3MgTl structure (GGA-PBE, Alexandria via LeMat-Bulk).

Cell and atoms, written as POSCAR:
```
Tb3MgTl
1.0
2.546 -10.978 0.000
2.546 10.978 0.000
0.000 0.000 5.092
Tb Mg Tl
6 2 2
Direct
0.055 0.945 0.750
0.249 0.751 0.750
0.442 0.558 0.750
0.558 0.442 0.250
0.751 0.249 0.250
0.945 0.055 0.250
0.153 0.847 0.250
0.847 0.153 0.750
0.345 0.655 0.250
0.655 0.345 0.750
```

Its symmetry is No. 63.

---

It comes down to b, which is 2.0 kJ/mol of atoms more stable than the next structure.

---

a | # Tb8MgTl2

A geometry-optimized Tb8MgTl2 structure (GGA-PBE, Alexandria via LeMat-Bulk).

Cell and atoms, written as POSCAR:
```
Tb8MgTl2
1.0
5.415 0.000 0.000
-2.697 8.180 0.000
-0.018 -4.476 7.377
Tb Mg Tl
8 1 2
Direct
0.065 0.130 0.221
0.136 0.271 0.681
0.320 0.639 0.558
0.409 0.818 0.051
0.591 0.182 0.949
0.680 0.361 0.442
0.864 0.729 0.319
0.935 0.870 0.779
0.500 0.000 0.500
0.228 0.457 0.128
0.772 0.543 0.872
```

Its symmetry is No. 2.

---

b | # Tb8MgTl2

A geometry-optimized Tb8MgTl2 structure (GGA-PBE, Alexandria via LeMat-Bulk).

Cell and atoms, written as POSCAR:
```
Tb8MgTl2
1.0
8.983 -2.623 0.000
8.983 2.623 0.000
-1.182 0.000 7.010
Tb Mg Tl
8 1 2
Direct
0.032 0.032 0.245
0.176 0.176 0.767
0.335 0.335 0.563
0.410 0.410 0.051
0.590 0.590 0.949
0.665 0.665 0.437
0.824 0.824 0.233
0.968 0.968 0.755
0.500 0.500 0.500
0.209 0.209 0.212
0.791 0.791 0.788
```

Its symmetry is No. 12.

---

It comes down to a, which is 3.7 kJ/mol of atoms more stable than the next structure.

---

a | # Tb4MgTl2

A geometry-optimized Tb4MgTl2 structure (GGA-PBE, Alexandria via LeMat-Bulk).

Cell and atoms, written as POSCAR:
```
Tb4MgTl2
1.0
2.646 1.527 8.460
-2.646 1.527 8.460
0.000 -3.055 8.460
Tb Mg Tl
4 1 2
Direct
0.115 0.115 0.115
0.369 0.369 0.369
0.631 0.631 0.631
0.885 0.885 0.885
0.500 0.500 0.500
0.244 0.244 0.244
0.756 0.756 0.756
```

Its symmetry is No. 166.

---

b | # Tb4MgTl2

A geometry-optimized Tb4MgTl2 structure (GGA-PBE, Alexandria via LeMat-Bulk).

Cell and atoms, written as POSCAR:
```
Tb4MgTl2
1.0
2.697 1.557 8.676
-2.697 1.557 8.676
0.000 -3.115 8.676
Tb Mg Tl
4 1 2
Direct
0.128 0.128 0.128
0.275 0.275 0.275
0.725 0.725 0.725
0.872 0.872 0.872
0.500 0.500 0.500
0.394 0.394 0.394
0.606 0.606 0.606
```

Its symmetry is No. 166.

---

It comes down to a, which is 14.1 kJ/mol of atoms more stable than the next structure.

---

a | # Tb5MgTl6

A geometry-optimized Tb5MgTl6 structure (GGA-PBE, Alexandria via LeMat-Bulk).

Cell and atoms, written as POSCAR:
```
Tb5MgTl6
1.0
3.200 -5.561 0.000
3.200 5.561 0.000
-2.154 0.000 9.714
Tb Mg Tl
5 1 6
Direct
0.000 0.000 0.000
0.166 0.834 0.500
0.330 0.670 0.000
0.670 0.330 0.000
0.834 0.166 0.500
0.500 0.500 0.500
0.091 0.419 0.254
0.255 0.255 0.747
0.419 0.091 0.254
0.581 0.909 0.746
0.745 0.745 0.253
0.909 0.581 0.746
```

Its symmetry is No. 12.

---

b | # Tb5MgTl6

A geometry-optimized Tb5MgTl6 structure (GGA-PBE, Alexandria via LeMat-Bulk).

Cell and atoms, written as POSCAR:
```
Tb5MgTl6
1.0
-2.656 3.797 8.073
2.656 -3.797 8.073
2.656 3.797 -8.073
Tb Mg Tl
5 1 6
Direct
0.000 0.000 0.000
0.170 0.670 0.500
0.342 0.342 0.000
0.658 0.658 0.000
0.830 0.330 0.500
0.500 0.000 0.500
0.087 0.836 0.251
0.249 0.500 0.749
0.415 0.164 0.251
0.585 0.836 0.749
0.751 0.500 0.251
0.913 0.164 0.749
```

Its symmetry is No. 71.

---

It comes down to b, which is 8.5 kJ/mol of atoms more stable than the next structure.